A geometry-optimized La2Pr5Zn2Ag structure, computed with PBE.

The structure belongs to space group P4/mbm (No. 127); the cell edges are 12.794, 12.794 and 3.820 Å and the angles 90.00°, 90.00° and 90.00°. The inequivalent atoms are La at (0.182, 0.318, 0.000), Pr at (0.000, 0.500, 0.500), Pr at (0.051, 0.801, 0.500), Zn at (0.132, 0.632, 0.000) and Ag at (0.000, 0.000, 0.000).

For the formation energy from the elements, the calculation gives -0.137 eV/atom. The density of states at the Fermi level comes out at 28.44 states/eV per cell. For the size of the total moment, the calculation gives 0.001 μB per formula unit. Its energy is -0.2978 Ry/atom.